# 1
Here is a relaxed structure of SmScI6 from Alexandria. Energies are from PBE.

```
8
Lattice="3.6863 -7.2762 0.0000 3.6863 7.2762 0.0000 -2.3145 0.0000 6.9974" Properties=species:S:1:pos:R:3 pbc="T T T"
Sm 0.0000 0.0000 0.0000
Sc 2.5290 0.0000 3.4987
I 1.3481 2.0892 1.8490
I 0.1702 0.0000 5.1908
I 1.3481 -2.0892 1.8490
I 3.7099 2.0892 5.1484
I 4.8879 0.0000 1.8066
I 3.7099 -2.0892 5.1484
```

VASP energy: -3.810 eV/atom
ΔE_f (raw): -1266 meV per atom
SG: C2/m


# 2
Here is a relaxed structure of Sr2LaCl from Alexandria. Energies are from PBE.

```
4
Lattice="2.0614 -3.3686 0.0000 2.0614 3.3686 0.0000 0.0000 0.0000 11.3499" Properties=species:S:1:pos:R:3 pbc="T T T"
Sr 0.0000 0.0000 0.0000
Sr 2.0614 0.0000 3.4917
La 0.0000 0.0000 6.7111
Cl 2.0614 0.0000 9.0745
```

VASP energy: -3.202 eV/atom
ΔE_f (raw): -667 meV per atom
SG: Cmm2


# 3
Here is a relaxed structure of YSiIr2 from Alexandria. Energies are from PBE.

```
4
Lattice="4.2445 0.0000 0.0000 0.0000 4.2445 0.0000 0.0000 0.0000 3.6975" Properties=species:S:1:pos:R:3 pbc="T T T"
Y 0.0000 0.0000 0.0000
Si 2.1223 2.1223 0.0000
Ir 0.0000 2.1223 1.8487
Ir 2.1223 0.0000 1.8487
```

VASP energy: -7.916 eV/atom
ΔE_f (raw): -514 meV per atom
SG: P4/mmm


# 4
Here is a relaxed structure of BaNa2TmF8 from Alexandria. Energies are from PBE.

```
12
Lattice="-2.8395 2.8395 5.8270 2.8395 -2.8395 5.8270 2.8395 2.8395 -5.8270" Properties=species:S:1:pos:R:3 pbc="T T T"
Ba 0.0000 0.0000 0.0000
Na 2.8395 0.0000 2.9135
Na 0.0000 0.0000 5.8270
Tm 0.0000 2.8395 2.9135
F 1.5787 1.3585 -1.6052
F 4.1002 1.3585 -1.6052
F 1.3585 1.5787 1.6052
F 1.4810 -1.2607 7.4323
F -1.2607 1.4810 4.2218
F 1.2607 1.4810 4.2218
F 1.3585 4.1002 1.6052
F 1.4810 1.2607 7.4323
```

VASP energy: -5.234 eV/atom
ΔE_f (raw): -3234 meV per atom
SG: I-4m2


# 5
Here is a relaxed structure of Li14PdRh from Alexandria. Energies are from PBE.

```
16
Lattice="6.2959 0.0000 0.0000 0.0000 6.2959 0.0000 0.0000 0.0000 6.7149" Properties=species:S:1:pos:R:3 pbc="T T T"
Li 0.0000 0.0000 0.0000
Li 0.0000 3.1480 0.0000
Li 0.0000 3.1480 3.3574
Li 1.5507 1.5507 1.8910
Li 1.5507 1.5507 4.8238
Li 1.5507 4.7452 1.8910
Li 1.5507 4.7452 4.8238
Li 3.1480 0.0000 0.0000
Li 3.1480 0.0000 3.3574
Li 3.1480 3.1480 0.0000
Li 4.7452 1.5507 1.8910
Li 4.7452 1.5507 4.8238
Li 4.7452 4.7452 1.8910
Li 4.7452 4.7452 4.8238
Pd 3.1480 3.1480 3.3574
Rh 0.0000 0.0000 3.3574
```

VASP energy: -2.542 eV/atom
ΔH_f (0 K): -1.3 eV per formula unit
SG: P4/mmm


# 6
Here is a relaxed structure of K3Sm3HfTe8 from Alexandria. Energies are from PBE.

```
15
Lattice="4.4520 2.5704 8.4524 -4.4520 2.5704 8.4524 0.0000 -5.1408 8.4524" Properties=species:S:1:pos:R:3 pbc="T T T"
K -2.2260 -1.2852 8.4524
K -2.2260 1.2852 16.9048
K 0.0000 2.5704 8.4524
Sm -4.4520 0.0000 12.6786
Sm -2.2260 1.2852 4.2262
Sm 2.2260 1.2852 4.2262
Hf 0.0000 0.0000 12.6786
Te 0.0000 0.0000 6.0303
Te -2.0876 -1.2053 14.3805
Te 0.0000 -2.4106 10.9766
Te -2.0876 1.2053 10.9766
Te 2.0876 -1.2053 14.3805
Te 0.0000 2.4106 14.3805
Te 2.0876 1.2053 10.9766
Te 0.0000 0.0000 19.3268
```

VASP energy: -4.778 eV/atom
ΔE_f (raw): -1276 meV per atom
SG: R-3m


# 7
Here is a relaxed structure of Sm2EuMg from Alexandria. Energies are from PBE.

```
4
Lattice="0.0000 4.0057 4.0057 4.0057 0.0000 4.0057 4.0057 4.0057 0.0000" Properties=species:S:1:pos:R:3 pbc="T T T"
Sm 2.0028 2.0028 2.0028
Sm 6.0085 6.0085 6.0085
Eu 0.0000 0.0000 0.0000
Mg 4.0057 4.0057 4.0057
```

VASP energy: -5.271 eV/atom
ΔH_f (0 K): 0.2 eV per formula unit
SG: Fm-3m


# 8
Here is a relaxed structure of TeOs2Pt from Alexandria. Energies are from PBE.

```
4
Lattice="-1.4313 2.3267 5.2703 1.4313 -2.3267 5.2703 1.4313 2.3267 -5.2703" Properties=species:S:1:pos:R:3 pbc="T T T"
Te 0.0000 0.0000 0.0000
Os 1.4313 0.0000 2.4749
Os 0.0000 0.0000 4.5784
Pt 0.0000 2.3267 2.0289
```

VASP energy: -7.223 eV/atom
ΔE_f (raw): 687 meV per atom
SG: Imm2


# 9
Here is a relaxed structure of Dy8Ho6Tm from Alexandria. Energies are from PBE.

```
15
Lattice="9.7654 0.0000 0.0000 -4.8827 8.4571 0.0000 0.0000 0.0000 5.7524" Properties=species:S:1:pos:R:3 pbc="T T T"
Dy -2.1528 5.2742 1.5233
Dy 0.0000 5.6381 4.4504
Dy 1.3915 3.9556 1.5233
Dy 4.1214 0.7727 4.2291
Dy 0.7613 7.6844 1.5233
Dy 3.4911 4.5015 4.2291
Dy 4.8827 2.8190 1.3020
Dy 7.0355 3.1829 4.2291
Ho -3.2967 6.5660 4.4702
Ho 0.8447 2.3191 4.4702
Ho 2.4307 0.4280 1.2822
Ho 2.4520 8.0291 4.4702
Ho 4.0380 6.1380 1.2822
Ho 8.1794 1.8911 1.2822
Tm 0.0000 0.0000 2.8762
```

VASP energy: -4.409 eV/atom
ΔH_f (0 K): 2.6 eV per formula unit
SG: P-3


# 10
Here is a relaxed structure of InP from Alexandria. Energies are from PBE.

```
8
Lattice="-5.4602 5.4602 2.1125 5.4602 -5.4602 2.1125 5.4602 5.4602 -2.1125" Properties=species:S:1:pos:R:3 pbc="T T T"
In 7.7238 1.2952 0.0000
In 1.2952 3.1966 0.0000
In 4.1650 2.2636 2.1125
In -2.2636 4.1650 2.1125
P 3.0703 1.2419 0.0000
P 4.2183 -2.3898 2.1125
P 1.2419 7.8500 0.0000
P 2.3898 4.2183 2.1125
```

VASP energy: -4.138 eV/atom
ΔH_f (0 K): -0.1 eV per formula unit
SG: I4/m


# 11
Here is a relaxed structure of SmBPt3 from Alexandria. Energies are from PBE.

```
10
Lattice="5.3885 0.0000 0.0000 0.0000 5.6629 0.0000 -0.7805 0.0000 5.4475" Properties=species:S:1:pos:R:3 pbc="T T T"
Sm 0.6347 1.4157 1.1200
Sm 3.9733 4.2472 4.3275
B 1.9713 4.2472 0.2342
B 2.6367 1.4157 5.2134
Pt 0.5246 4.2472 1.7462
Pt 1.3118 0.0349 4.0802
Pt 1.3118 2.7966 4.0802
Pt 3.2962 2.8663 1.3673
Pt 3.2962 5.6281 1.3673
Pt 4.0835 1.4157 3.7014
```

VASP energy: -6.730 eV/atom
ΔH_f (0 K): -4.1 eV per formula unit
SG: P2_1/m


# 12
Here is a relaxed structure of Ga2CuHgPb from Alexandria. Energies are from PBE.

```
5
Lattice="4.7146 0.0000 0.0000 0.0000 4.7146 0.0000 0.0000 0.0000 5.4957" Properties=species:S:1:pos:R:3 pbc="T T T"
Ga 0.0000 2.3573 0.0000
Ga 2.3573 0.0000 0.0000
Cu 0.0000 0.0000 0.0000
Hg 2.3573 2.3573 2.7478
Pb 0.0000 0.0000 2.7478
```

VASP energy: -2.690 eV/atom
ΔH_f (0 K): 0.7 eV per formula unit
SG: P4/mmm


# 13
Here is a relaxed structure of Rb2ClO4 from Alexandria. Energies are from PBE.

```
14
Lattice="8.1383 0.0000 0.0000 0.0000 8.1383 0.0000 0.0000 0.0000 5.3448" Properties=species:S:1:pos:R:3 pbc="T T T"
Rb 1.6404 1.6404 0.0000
Rb 2.4288 5.7095 2.6724
Rb 5.7095 2.4288 2.6724
Rb 6.4980 6.4980 0.0000
Cl 0.0000 0.0000 2.6724
Cl 4.0692 4.0692 0.0000
O 0.3499 3.5275 2.6724
O 0.5416 4.4191 0.0000
O 3.5275 0.3499 2.6724
O 3.7192 7.5967 0.0000
O 4.4191 0.5416 0.0000
O 4.6108 7.7884 2.6724
O 7.5967 3.7192 0.0000
O 7.7884 4.6108 2.6724
```

VASP energy: -4.247 eV/atom
ΔE_f (raw): -873 meV per atom
SG: P4_2/mnm


# 14
Here is a relaxed structure of MgTlOsRh2 from Alexandria. Energies are from PBE.

```
5
Lattice="4.4846 0.0000 0.0000 0.0000 4.4846 0.0000 0.0000 0.0000 4.6782" Properties=species:S:1:pos:R:3 pbc="T T T"
Mg 0.0000 0.0000 0.0000
Tl 2.2423 2.2423 2.3391
Os 0.0000 0.0000 2.3391
Rh 0.0000 2.2423 0.0000
Rh 2.2423 0.0000 0.0000
```

VASP energy: -4.640 eV/atom
ΔH_f (0 K): 6.7 eV per formula unit
SG: P4/mmm


# 15
Here is a relaxed structure of LiEuHoAg from Alexandria. Energies are from PBE.

```
4
Lattice="0.0000 3.7338 3.7338 3.7338 0.0000 3.7338 3.7338 3.7338 0.0000" Properties=species:S:1:pos:R:3 pbc="T T T"
Li 0.0000 0.0000 0.0000
Eu 5.6006 5.6006 5.6006
Ho 1.8669 1.8669 1.8669
Ag 3.7338 3.7338 3.7338
```

VASP energy: -4.972 eV/atom
ΔH_f (0 K): -0.3 eV per formula unit
SG: F-43m


# 16
Here is a relaxed structure of CaTlCd2H from Alexandria. Energies are from PBE.

```
5
Lattice="4.9091 0.0000 0.0000 0.0000 4.9091 0.0000 0.0000 0.0000 4.4428" Properties=species:S:1:pos:R:3 pbc="T T T"
Ca 0.0000 0.0000 0.0000
Tl 2.4546 2.4546 0.0000
Cd 0.0000 2.4546 2.2214
Cd 2.4546 0.0000 2.2214
H 0.0000 0.0000 2.2214
```

VASP energy: -2.036 eV/atom
SG: P4/mmm


# 17
Here is a relaxed structure of RbCu2ReC from Alexandria. Energies are from PBE.

```
5
Lattice="4.0552 0.0000 0.0000 0.0000 4.0552 0.0000 0.0000 0.0000 5.4019" Properties=species:S:1:pos:R:3 pbc="T T T"
Rb 0.0000 0.0000 0.0000
Cu 0.0000 2.0276 2.7010
Cu 2.0276 0.0000 2.7010
Re 2.0276 2.0276 0.0000
C 0.0000 0.0000 2.7010
```

VASP energy: -4.091 eV/atom
ΔH_f (0 K): 10.4 eV per formula unit
SG: P4/mmm


# 18
Here is a relaxed structure of Y6Ho2Tm3 from Alexandria. Energies are from PBE.

```
11
Lattice="1.7714 1.0227 31.7341 -1.7714 1.0227 31.7341 0.0000 -2.0454 31.7341" Properties=species:S:1:pos:R:3 pbc="T T T"
Y 0.0000 0.0000 8.6115
Y 0.0000 0.0000 17.3313
Y 0.0000 0.0000 34.6042
Y 0.0000 0.0000 60.5981
Y 0.0000 0.0000 77.8710
Y 0.0000 0.0000 86.5908
Ho 0.0000 0.0000 43.2410
Ho 0.0000 0.0000 51.9613
Tm 0.0000 0.0000 0.0000
Tm 0.0000 0.0000 25.9941
Tm 0.0000 0.0000 69.2082
```

VASP energy: -5.549 eV/atom
ΔH_f (0 K): 0.3 eV per formula unit
SG: R-3m


# 19
Here is a relaxed structure of BaGePb2Br8 from Alexandria. Energies are from PBE.

```
12
Lattice="6.9351 0.0000 0.0000 0.0000 9.1874 0.0000 -0.0694 0.0000 7.1842" Properties=species:S:1:pos:R:3 pbc="T T T"
Ba 0.0000 0.0000 0.0000
Ge 0.0000 4.5937 0.0000
Pb 3.4328 2.4275 3.5921
Pb 3.4328 6.7599 3.5921
Br 1.6201 2.5662 1.1254
Br 1.6201 6.6212 1.1254
Br 1.6632 4.5937 4.8698
Br 1.8291 0.0000 4.5811
Br 5.0365 0.0000 2.6031
Br 5.2024 4.5937 2.3144
Br 5.2456 2.5662 6.0588
Br 5.2456 6.6212 6.0588
```

VASP energy: -3.392 eV/atom
ΔE_f (raw): -1114 meV per atom
SG: P2/m


# 20
Here is a relaxed structure of AcZrN from Alexandria. Energies are from PBE.

```
6
Lattice="3.7920 0.0000 0.0000 0.0000 3.7920 0.0000 0.0000 0.0000 9.4625" Properties=species:S:1:pos:R:3 pbc="T T T"
Ac 0.9480 0.9480 1.8157
Ac 2.8440 2.8440 7.6468
Zr 0.9480 2.8440 4.7313
Zr 2.8440 0.9480 4.7313
N 0.9480 0.9480 6.3420
N 2.8440 2.8440 3.1205
```

VASP energy: -7.323 eV/atom
ΔE_f (raw): -329 meV per atom
SG: P4/nmm


# 21
Here is a relaxed structure of Na3ScPa2Te6 from Alexandria. Energies are from PBE.

```
12
Lattice="3.7260 -6.4524 0.0000 3.7260 6.4524 0.0000 -2.4872 0.0000 7.7488" Properties=species:S:1:pos:R:3 pbc="T T T"
Na 0.0000 0.0000 0.0000
Na 3.7260 2.1971 0.0000
Na 3.7260 -2.1971 0.0000
Sc 2.4824 0.0000 3.8744
Pa 2.4824 4.3093 3.8744
Pa 2.4824 -4.3093 3.8744
Te 1.2860 2.0768 2.0640
Te 0.0890 0.0000 5.6903
Te 1.2860 -2.0768 2.0640
Te 3.6789 2.0768 5.6848
Te 4.8759 0.0000 2.0586
Te 3.6789 -2.0768 5.6848
```

VASP energy: -4.965 eV/atom
ΔE_f (raw): -954 meV per atom
SG: C2/m


# 22
Here is a relaxed structure of Pa2HgTe4 from Alexandria. Energies are from PBE.

```
14
Lattice="6.4932 -6.4109 0.0000 6.4932 6.4109 0.0000 -6.4866 0.0000 6.5194" Properties=species:S:1:pos:R:3 pbc="T T T"
Pa 0.0000 0.0000 0.0000
Pa -3.2433 0.0000 3.2597
Pa 3.2466 3.2054 0.0000
Pa 0.0033 -3.2054 3.2597
Hg 1.6282 1.5976 4.8896
Hg 4.8716 -1.5976 1.6299
Te -3.4022 0.1204 6.3444
Te -0.1589 -0.1204 3.0847
Te 3.4120 3.3247 3.0847
Te 6.3312 3.3247 0.1750
Te 0.1686 -3.3247 6.3444
Te 3.0878 -3.3247 3.4347
Te 6.6587 0.1204 3.4347
Te 9.9020 -0.1204 0.1750
```

VASP energy: -5.119 eV/atom
ΔE_f (raw): -568 meV per atom
SG: C2/c


# 23
Here is a relaxed structure of LiCaGdSn from Alexandria. Energies are from PBE.

```
4
Lattice="0.0000 3.7688 3.7688 3.7688 0.0000 3.7688 3.7688 3.7688 0.0000" Properties=species:S:1:pos:R:3 pbc="T T T"
Li 0.0000 0.0000 0.0000
Ca 5.6533 5.6533 5.6533
Gd 1.8844 1.8844 1.8844
Sn 3.7688 3.7688 3.7688
```

VASP energy: -5.925 eV/atom
ΔH_f (0 K): -1.7 eV per formula unit
SG: F-43m


# 24
Here is a relaxed structure of HfW3 from Alexandria. Energies are from PBE.

```
4
Lattice="4.5984 0.0000 0.0000 0.0000 4.5984 0.0000 0.0000 0.0000 3.2295" Properties=species:S:1:pos:R:3 pbc="T T T"
Hf 0.0000 0.0000 0.0000
W 0.0000 2.2992 1.6148
W 2.2992 0.0000 1.6148
W 2.2992 2.2992 0.0000
```

VASP energy: -12.145 eV/atom
ΔH_f (0 K): 0.2 eV per formula unit
SG: P4/mmm